1.
Material: CaMoPt2
Method: DFT, GGA-PBE
State: optimized geometry

Unit cell a=2.838 b=4.205 c=6.190 alpha=90.00 beta=90.00 gamma=90.00
Positions (direct):
1 Ca 0.000 0.000 0.000
2 Mo 0.500 0.500 0.343
3 Pt 0.000 0.000 0.496
4 Pt 0.500 0.500 0.769

Properties
Its relative energy among the computed polymorphs is 263 meV/atom. The value obtained for the raw total energy is -6.356 eV/atom. As for the spin magnetization: 0.00 μB per cell.



2.
Material: CaMoPt4
Method: DFT, GGA-PBE
State: optimized geometry

Unit cell a=5.341 b=5.341 c=5.341 alpha=60.00 beta=60.00 gamma=60.00
Positions (direct):
1 Ca 0.000 0.000 0.000
2 Mo 0.750 0.750 0.750
3 Pt 0.375 0.375 0.375
4 Pt 0.375 0.375 0.874
5 Pt 0.375 0.874 0.375
6 Pt 0.874 0.375 0.375

Properties
The value obtained for the raw total energy is -6.382 eV/atom. As for the spin magnetization: 2.75 μB per cell.



3.
Material: CaMoPt
Method: DFT, GGA-PBE
State: optimized geometry

Unit cell a=4.933 b=5.110 c=5.983 alpha=77.06 beta=89.92 gamma=61.42
Positions (direct):
1 Ca 0.000 0.000 0.000
2 Ca 0.282 0.440 0.690
3 Mo 0.599 0.808 0.467
4 Mo 0.832 0.342 0.368
5 Pt 0.325 0.357 0.205
6 Pt 0.662 0.674 0.916

Properties
Its relative energy among the computed polymorphs is 218 meV/atom. The value obtained for the raw total energy is -6.353 eV/atom. As for the spin magnetization: 0.00 μB per cell.



4.
Material: CaMoPt
Method: DFT, GGA-PBE
State: optimized geometry

Unit cell a=3.020 b=3.020 c=7.233 alpha=90.00 beta=90.00 gamma=120.00
Positions (direct):
1 Ca 0.000 0.000 0.000
2 Mo 0.667 0.333 0.366
3 Pt 0.333 0.667 0.655

Properties
Its relative energy among the computed polymorphs is 651 meV/atom. The value obtained for the raw total energy is -5.921 eV/atom. As for the spin magnetization: 0.22 μB per cell.



5.
Material: CaMoPt2
Method: DFT, GGA-PBE
State: optimized geometry

Unit cell a=7.483 b=7.483 c=5.855 alpha=90.00 beta=90.00 gamma=90.00
Positions (direct):
1 Ca 0.000 0.000 0.000
2 Ca 0.000 0.500 0.250
3 Ca 0.500 0.000 0.750
4 Ca 0.500 0.500 0.500
5 Mo 0.000 0.000 0.500
6 Mo 0.000 0.500 0.750
7 Mo 0.500 0.000 0.250
8 Mo 0.500 0.500 0.000
9 Pt 0.207 0.250 0.625
10 Pt 0.250 0.707 0.875
11 Pt 0.250 0.793 0.375
12 Pt 0.293 0.250 0.125
13 Pt 0.707 0.750 0.125
14 Pt 0.750 0.207 0.375
15 Pt 0.750 0.293 0.875
16 Pt 0.793 0.750 0.625

Properties
Its relative energy among the computed polymorphs is 495 meV/atom. The value obtained for the raw total energy is -6.123 eV/atom. As for the spin magnetization: 8.72 μB per cell.



6.
Material: CaMo3Pt
Method: DFT, GGA-PBE
State: optimized geometry

Unit cell a=4.519 b=4.519 c=4.519 alpha=90.00 beta=90.00 gamma=90.00
Positions (direct):
1 Ca 0.000 0.000 0.000
2 Mo 0.000 0.000 0.500
3 Mo 0.000 0.500 0.000
4 Mo 0.500 0.000 0.000
5 Pt 0.500 0.500 0.500

Properties
Its relative energy among the computed polymorphs is 1128 meV/atom. The value obtained for the raw total energy is -5.589 eV/atom. As for the spin magnetization: 0.00 μB per cell.



7.
Material: CaMoPt
Method: DFT, GGA-PBE
State: optimized geometry

Unit cell a=4.662 b=5.414 c=5.702 alpha=69.97 beta=81.57 gamma=70.52
Positions (direct):
1 Ca 0.000 0.000 0.000
2 Ca 0.277 0.263 0.273
3 Mo 0.241 0.591 0.659
4 Mo 0.684 0.569 0.445
5 Pt 0.667 0.608 0.960
6 Pt 0.771 0.032 0.555

Properties
Its relative energy among the computed polymorphs is 225 meV/atom. The value obtained for the raw total energy is -6.346 eV/atom. As for the spin magnetization: 0.00 μB per cell.



8.
Material: CaMo2Pt2
Method: DFT, GGA-PBE
State: optimized geometry

Unit cell a=8.041 b=8.041 c=2.770 alpha=90.00 beta=90.00 gamma=90.00
Positions (direct):
1 Ca 0.000 0.000 0.000
2 Ca 0.500 0.500 0.000
3 Mo 0.115 0.385 0.000
4 Mo 0.385 0.885 0.000
5 Mo 0.615 0.115 0.000
6 Mo 0.885 0.615 0.000
7 Pt 0.176 0.676 0.500
8 Pt 0.324 0.176 0.500
9 Pt 0.676 0.824 0.500
10 Pt 0.824 0.324 0.500

Properties
The value obtained for the raw total energy is -7.341 eV/atom. As for the spin magnetization: 0.00 μB per cell.



9.
Material: CaMoPt3
Method: DFT, GGA-PBE
State: optimized geometry

Unit cell a=4.883 b=4.883 c=4.883 alpha=90.00 beta=90.00 gamma=90.00
Positions (direct):
1 Ca 0.000 0.000 0.000
2 Mo 0.500 0.500 0.500
3 Pt 0.000 0.500 0.500
4 Pt 0.500 0.000 0.500
5 Pt 0.500 0.500 0.000

Properties
Its relative energy among the computed polymorphs is 0 meV/atom. The value obtained for the raw total energy is -5.999 eV/atom. As for the spin magnetization: 0.00 μB per cell.



10.
Material: CaMoPt2
Method: DFT, GGA-PBE
State: optimized geometry

Unit cell a=6.514 b=6.514 c=6.514 alpha=90.00 beta=90.00 gamma=90.00
Positions (direct):
1 Ca 0.000 0.000 0.000
2 Ca 0.000 0.500 0.500
3 Ca 0.500 0.000 0.500
4 Ca 0.500 0.500 0.000
5 Mo 0.250 0.250 0.750
6 Mo 0.250 0.750 0.250
7 Mo 0.750 0.250 0.250
8 Mo 0.750 0.750 0.750
9 Pt 0.000 0.000 0.500
10 Pt 0.000 0.500 0.000
11 Pt 0.250 0.250 0.250
12 Pt 0.250 0.750 0.750
13 Pt 0.500 0.000 0.000
14 Pt 0.500 0.500 0.500
15 Pt 0.750 0.250 0.750
16 Pt 0.750 0.750 0.250

Properties
Its relative energy among the computed polymorphs is 422 meV/atom. The value obtained for the raw total energy is -6.196 eV/atom. As for the spin magnetization: 0.00 μB per cell.



11.
Material: CaMoPt
Method: DFT, GGA-PBE
State: optimized geometry

Unit cell a=16.196 b=4.728 c=3.125 alpha=90.00 beta=90.46 gamma=90.00
Positions (direct):
1 Ca 0.181 0.000 0.009
2 Ca 0.319 0.500 0.991
3 Ca 0.681 0.500 0.009
4 Ca 0.819 0.000 0.991
5 Mo 0.000 0.332 0.000
6 Mo 0.000 0.934 0.500
7 Mo 0.500 0.434 0.500
8 Mo 0.500 0.832 0.000
9 Pt 0.130 0.501 0.506
10 Pt 0.370 0.001 0.494
11 Pt 0.630 0.001 0.506
12 Pt 0.870 0.501 0.494

Properties
Its relative energy among the computed polymorphs is 63 meV/atom. The value obtained for the raw total energy is -6.509 eV/atom. As for the spin magnetization: 0.00 μB per cell.



12.
Material: CaMoPt
Method: DFT, GGA-PBE
State: optimized geometry

Unit cell a=3.082 b=3.082 c=12.598 alpha=90.00 beta=90.00 gamma=90.00
Positions (direct):
1 Ca 0.000 0.000 0.000
2 Ca 0.500 0.500 0.500
3 Mo 0.000 0.000 0.697
4 Mo 0.500 0.500 0.197
5 Pt 0.000 0.000 0.317
6 Pt 0.500 0.500 0.817

Properties
Its relative energy among the computed polymorphs is 335 meV/atom. The value obtained for the raw total energy is -6.236 eV/atom. As for the spin magnetization: 0.00 μB per cell.



no.,DFT formation energy (eV/atom)
1,-0.127
2,-0.216
3,-0.062
4,0.370
5,0.105
6,2.518
7,-0.055
8,-0.192
9,0.192
10,0.032
11,-0.218
12,0.055